A plane-wave DFT calculation with PBE was carried out for a relaxed structure of SrPm3Pb3.

Computed properties:
DOS at the Fermi energy, states/eV per atom: 0.74
E_form, eV/atom: -0.385

Geometry as extended XYZ:
```
14
Lattice="9.724 0.000 0.000 4.862 8.421 0.000 4.862 2.807 6.406" Properties=species:S:1:pos:R:3 pbc="T T T"
Sr 4.862 2.807 0.030
Sr 14.586 8.421 6.376
Pm 11.133 8.707 4.703
Pm 11.697 2.847 4.703
Pm 6.341 5.288 4.703
Pm 13.107 5.940 1.703
Pm 7.750 8.381 1.703
Pm 8.314 2.521 1.703
Pb 6.566 5.412 1.532
Pb 11.478 2.981 1.532
Pb 11.127 8.450 1.532
Pb 8.320 2.779 4.874
Pb 7.970 8.247 4.874
Pb 12.881 5.816 4.874
```



A plane-wave DFT calculation with PBE was carried out for a relaxed structure of Er10Al3Pb3.

Computed properties:
DOS at the Fermi energy, states/eV per atom: 0.82
E_form, eV/atom: -0.396

Geometry as extended XYZ:
```
16
Lattice="-5.948 -2.029 1.830 1.124 -7.452 -4.609 2.480 0.371 8.471" Properties=species:S:1:pos:R:3 pbc="T T T"
Er 0.150 -5.331 0.190
Er 0.602 -2.723 4.550
Er -2.494 -3.780 5.503
Er -2.946 -6.388 1.142
Er -1.079 -0.731 7.388
Er -2.115 -6.709 -2.607
Er -2.124 -2.685 1.826
Er 0.588 0.088 2.010
Er 0.267 -1.768 -1.094
Er 2.749 -5.401 2.945
Al 1.491 0.223 5.092
Al 0.676 -4.479 -2.770
Al 1.438 -2.825 1.541
Pb -1.980 -0.866 4.312
Pb -2.523 -4.003 -0.933
Pb -0.815 -5.256 3.228
```



A plane-wave DFT calculation with PBE was carried out for a relaxed structure of Al3CrRh.

Computed properties:
DOS at the Fermi energy, states/eV per atom: 1.55
E_form, eV/atom: 0.549
Offset from the most stable computed form, meV/atom: 0.0

Geometry as extended XYZ:
```
5
Lattice="4.573 0.000 0.000 0.000 4.573 0.000 0.000 0.000 4.573" Properties=species:S:1:pos:R:3 pbc="T T T"
Cr 2.287 2.287 2.287
Rh 0.000 0.000 0.000
Al 0.000 2.287 0.000
Al 0.000 0.000 2.287
Al 2.287 0.000 0.000
```